VFe3P6O24: optimized geometry, GGA+U.

a b c (Å): 8.926 8.926 8.926
angles (deg): 58.12 58.12 58.12
Sites, in units of the cell vectors:
V 0.857 0.857 0.857
Fe 0.141 0.141 0.141
Fe 0.356 0.356 0.356
Fe 0.642 0.642 0.642
P 0.036 0.471 0.745
P 0.471 0.745 0.036
P 0.745 0.036 0.471
P 0.242 0.969 0.538
P 0.538 0.242 0.969
P 0.969 0.538 0.242
O 0.146 0.517 0.252
O 0.252 0.146 0.517
O 0.086 0.286 0.902
O 0.517 0.252 0.146
O 0.198 0.474 0.556
O 0.994 0.639 0.790
O 0.286 0.902 0.086
O 0.474 0.556 0.198
O 0.556 0.198 0.474
O 0.206 0.000 0.373
O 0.073 0.924 0.722
O 0.373 0.206 0.000
O 0.639 0.790 0.994
O 0.902 0.086 0.286
O 0.790 0.994 0.639
O 0.421 0.800 0.558
O 0.558 0.421 0.800
O 0.722 0.073 0.924
O 0.000 0.373 0.206
O 0.800 0.558 0.421
O 0.494 0.728 0.862
O 0.924 0.722 0.073
O 0.728 0.862 0.494
O 0.862 0.494 0.728

Calculated values
total DFT energy (no corrections)	-236.49	eV for the cell shown
total magnetic moment	0.566	μB per atom